1.
ErPuMgZn | the Alexandria database | PBE | optimized geometry; D(E_F) = 1.5916 states/eV/atom; magnetic moment = 6.241 μB/cell; ΔH_f (0 K) = 0.00 eV/atom
1.0
5.166 0.000 0.000
2.583 4.473 0.000
2.583 1.491 4.218
Zn Er Mg Pu
1 1 1 1
direct
0.000 0.000 0.000
0.250 0.250 0.250
0.500 0.500 0.500
0.750 0.750 0.750

---

2.
ZrAg3Br | the Alexandria database | PBE | optimized geometry; D(E_F) = 0.6494 states/eV/atom; magnetic moment = 0.171 μB/cell; uncorrected energy = -2.681 eV/atom
1.0
5.439 0.000 0.000
0.000 5.439 0.000
0.000 0.000 5.439
Br Zr Ag
1 1 3
direct
0.500 0.500 0.500
0.000 0.000 0.000
0.000 0.500 0.000
0.000 0.000 0.500
0.500 0.000 0.000

---

3.
Pa2Ti2Ge2C | the Alexandria database | PBE | optimized geometry; D(E_F) = 1.2706 states/eV/atom; magnetic moment = 0.000 μB/cell; ΔH_f (0 K) = -0.63 eV/atom
1.0
4.193 0.000 0.000
0.000 4.193 0.000
-2.096 -2.096 7.427
Pa Ti Ge C
2 2 2 1
direct
0.166 0.166 0.332
0.834 0.834 0.668
0.000 0.500 0.000
0.500 0.000 0.000
0.373 0.373 0.745
0.627 0.627 0.255
0.000 0.000 0.000

---

4.
CaSi2Ir | the Alexandria database | PBE | optimized geometry; D(E_F) = 0.7272 states/eV/atom; magnetic moment = 0.000 μB/cell; uncorrected energy = -5.324 eV/atom
1.0
4.588 0.000 0.000
2.294 3.973 0.000
2.294 1.324 3.746
Ca Ir Si
1 1 2
direct
0.500 0.500 0.500
0.750 0.750 0.750
0.000 0.000 0.000
0.250 0.250 0.250

---

5.
Na2PaReO8 | the Alexandria database | PBE | optimized geometry; D(E_F) = 0.4819 states/eV/atom; magnetic moment = 1.888 μB/cell; uncorrected energy = -7.257 eV/atom
1.0
5.178 -0.128 -0.003
-0.117 5.165 -0.006
0.004 0.008 6.686
Na Pa Re O
2 1 1 8
direct
0.500 0.500 0.762
0.500 0.500 0.238
0.000 0.000 0.500
0.000 0.000 0.000
0.173 0.827 0.213
0.743 0.743 0.000
0.827 0.173 0.213
0.827 0.173 0.787
0.257 0.257 0.000
0.173 0.827 0.787
0.730 0.729 0.500
0.270 0.271 0.500

---

6.
TlSb2Pb2 | the Alexandria database | PBE | optimized geometry; D(E_F) = 0.6344 states/eV/atom; magnetic moment = 0.000 μB/cell; uncorrected energy = -3.558 eV/atom
1.0
8.854 0.000 0.000
0.000 8.854 0.000
0.000 0.000 4.094
Pb Sb Tl
4 4 2
direct
0.152 0.652 0.500
0.652 0.848 0.500
0.848 0.348 0.500
0.348 0.152 0.500
0.365 0.865 0.000
0.865 0.635 0.000
0.635 0.135 0.000
0.135 0.365 0.000
0.000 0.000 0.000
0.500 0.500 0.000

---

7.
Er5CdGa4 | the Alexandria database | PBE | optimized geometry; D(E_F) = 0.4358 states/eV/atom; magnetic moment = 0.000 μB/cell; ΔH_f (0 K) = -0.52 eV/atom
1.0
-0.368 3.523 0.116
-3.369 -0.386 1.030
5.317 -0.018 17.382
Er Cd Ga
5 1 4
direct
0.500 0.500 0.112
0.500 0.500 0.305
0.500 0.500 0.500
0.500 0.500 0.695
0.500 0.500 0.888
0.000 0.000 0.000
0.000 0.000 0.206
0.000 0.000 0.403
0.000 0.000 0.597
0.000 0.000 0.794

---

8.
Li8CeS6 | the Alexandria database | PBE | optimized geometry; magnetic moment = 0.000 μB/cell; uncorrected energy = -4.489 eV/atom
1.0
6.085 0.000 3.193
2.205 5.672 3.193
-0.095 -0.065 7.575
Li Ce S
8 1 6
direct
0.527 0.220 0.369
0.780 0.116 0.631
0.116 0.473 0.631
0.663 0.663 0.012
0.337 0.337 0.988
0.884 0.527 0.369
0.220 0.884 0.369
0.473 0.780 0.631
0.000 0.000 0.000
0.403 0.087 0.756
0.913 0.246 0.244
0.246 0.597 0.244
0.754 0.403 0.756
0.087 0.754 0.756
0.597 0.913 0.244

---

In the order shown, the computed density values come out to 8.54; 5.10; 9.10; 7.02; 5.49; 8.92; 8.93; 2.44 g cm⁻³.
In the order shown, the computed volume values come out to 24.4; 32.2; 18.7; 17.1; 14.9; 32.1; 22.8; 17.6 A^3/atom.